Material: RbTbBeO3
Method: DFT, PBE
State: optimized geometry

Properties
The space group is P2_1/m.

```
12
Lattice="-2.818 -1.518 1.212 0.501 -5.490 -5.707 3.956 -2.425 6.160" Properties=species:S:1:pos:R:3 pbc="T T T"
O 0.069 -3.166 3.443
O -1.306 -4.046 -0.853
O 2.945 -5.387 2.518
O 1.571 -6.267 -1.779
O 2.600 -3.118 4.555
O -0.960 -6.314 -2.890
Rb 0.291 -2.012 0.575
Rb 1.348 -7.421 1.090
Be -0.080 -7.242 -2.006
Be 1.720 -2.190 3.671
Tb 0.277 -4.406 -2.458
Tb 1.363 -5.026 4.123
```

Material: RbBeTc2O8
Method: DFT, PBE
State: optimized geometry

Properties
The space group is C2/m.

```
12
Lattice="5.229 0.000 0.000 2.615 6.118 -0.060 2.615 2.200 6.754" Properties=species:S:1:pos:R:3 pbc="T T T"
O 2.615 2.841 2.277
O 6.416 7.704 5.630
O 4.043 0.615 1.064
O 7.844 5.477 4.417
O 5.229 3.615 0.515
O 1.186 0.615 1.064
O 9.272 7.704 5.630
O 5.229 4.703 6.179
Tc 2.615 1.693 0.966
Tc 7.844 6.625 5.728
Rb 5.229 4.159 3.347
Be 0.000 0.000 0.000
```

Material: RbBeTcO2
Method: DFT, PBE
State: optimized geometry

Properties
The space group is P4/mmm.

```
5
Lattice="4.059 0.000 0.000 0.000 4.338 0.000 0.000 0.000 4.059" Properties=species:S:1:pos:R:3 pbc="T T T"
Tc 0.000 2.169 0.000
Be 0.000 0.000 0.000
Rb 2.030 2.169 2.030
O 2.030 0.000 0.000
O 0.000 0.000 2.030
```

Material: RbBe4Tc3O12
Method: DFT, PBE
State: optimized geometry

Properties
The space group is R32.

```
20
Lattice="6.417 -0.057 -0.080 -1.602 6.214 -0.080 -1.602 -2.048 5.868" Properties=species:S:1:pos:R:3 pbc="T T T"
Be 1.607 2.054 2.854
Be 5.136 -0.706 2.854
Be 1.607 5.691 0.236
Be -1.923 1.178 5.472
O 5.198 0.691 2.207
O -1.654 4.604 2.854
O -0.582 0.439 5.642
O 0.566 5.496 1.356
O 2.848 2.362 1.934
O 4.867 2.864 0.436
O 1.607 0.776 3.774
O 3.795 -1.103 3.501
O 0.366 3.025 2.854
O 1.607 -1.305 5.272
O 2.647 4.568 0.066
O -1.985 2.235 4.352
Tc 1.954 -1.165 3.231
Tc -1.602 2.551 2.557
Tc 2.862 2.723 -0.080
Rb 0.000 0.000 0.000
```

Number 1: formation energy without anion corrections -2637 meV per atom. Number 2: formation energy without anion corrections -1547 meV per atom. Number 3: formation energy without anion corrections 487 meV per atom. Number 4: formation energy without anion corrections -1766 meV per atom.